1.
# Cd2OsRh, PBEsol geometry, DFT SCAN
data_Cd2OsRh
_cell_length_a 9.2936
_cell_length_b 2.7790
_cell_length_c 4.9980
_cell_angle_alpha 90.00
_cell_angle_beta 99.09
_cell_angle_gamma 90.00
_symmetry_space_group_name_H-M 'C 1 2/m 1'
_symmetry_Int_Tables_number 12
loop_
_symmetry_equiv_pos_as_xyz
'x,y,z'
'-x,-y,-z'
'-x,y,-z'
'x,-y,z'
'x+1/2,y+1/2,z'
'-x+1/2,-y+1/2,-z'
'-x+1/2,y+1/2,-z'
'x+1/2,-y+1/2,z'
loop_
_atom_site_label
_atom_site_type_symbol
_atom_site_fract_x
_atom_site_fract_y
_atom_site_fract_z
Cd1 Cd 0.2487 0.0000 0.2469
Os1 Os 0.0000 0.0000 0.5000
Rh1 Rh 0.0000 0.5000 0.0000
# * ΔH_f (0 K): 0.381 eV/atom
# * energy above the most stable polymorph in this dataset: 22 meV per atom

2.
# Cd2OsRh, PBEsol geometry, DFT SCAN
data_Cd2OsRh
_cell_length_a 5.6511
_cell_length_b 8.2875
_cell_length_c 2.7506
_cell_angle_alpha 90.00
_cell_angle_beta 90.00
_cell_angle_gamma 90.00
_symmetry_space_group_name_H-M 'C m m m'
_symmetry_Int_Tables_number 65
_symmetry_space_group_name_Hall '-C 2 2'
loop_
_atom_site_label
_atom_site_type_symbol
_atom_site_fract_x
_atom_site_fract_y
_atom_site_fract_z
Cd1 Cd 0.2500 0.2500 0.0000
Os1 Os 0.0000 0.0000 0.5000
Rh1 Rh 0.0000 0.5000 0.5000
# * ΔH_f (0 K): 0.459 eV/atom
# * energy above the most stable polymorph in this dataset: 100 meV per atom

3.
# Cd2OsRh, PBEsol geometry, DFT SCAN
data_Cd2OsRh
_cell_length_a 3.9666
_cell_length_b 3.9666
_cell_length_c 8.2345
_cell_angle_alpha 90.00
_cell_angle_beta 90.00
_cell_angle_gamma 90.00
_symmetry_space_group_name_H-M 'I 4/m m m'
_symmetry_Int_Tables_number 139
_symmetry_space_group_name_Hall '-I 4 2'
loop_
_atom_site_label
_atom_site_type_symbol
_atom_site_fract_x
_atom_site_fract_y
_atom_site_fract_z
Cd1 Cd 0.0000 0.5000 0.2500
Os1 Os 0.0000 0.0000 0.0000
Rh1 Rh 0.0000 0.0000 0.5000
# * ΔH_f (0 K): 0.500 eV/atom
# * energy above the most stable polymorph in this dataset: 141 meV per atom

4.
# Cd2OsRh, PBEsol geometry, DFT SCAN
data_Cd2OsRh
_cell_length_a 2.8345
_cell_length_b 2.8345
_cell_length_c 27.4803
_cell_angle_alpha 90.00
_cell_angle_beta 90.00
_cell_angle_gamma 120.00
_symmetry_space_group_name_H-M 'R -3 m'
_symmetry_Int_Tables_number 166
_symmetry_space_group_name_Hall '-R 3 2"'
loop_
_atom_site_label
_atom_site_type_symbol
_atom_site_fract_x
_atom_site_fract_y
_atom_site_fract_z
Cd1 Cd 0.0000 0.0000 0.2483
Os1 Os 0.0000 0.0000 0.0000
Rh1 Rh 0.0000 0.0000 0.5000
# * ΔH_f (0 K): 0.359 eV/atom
# * energy above the most stable polymorph in this dataset: 0 meV per atom

5.
# CdOsRh2, PBEsol geometry, DFT SCAN
data_CdOsRh2
_cell_length_a 2.7525
_cell_length_b 2.7525
_cell_length_c 7.7762
_cell_angle_alpha 90.00
_cell_angle_beta 90.00
_cell_angle_gamma 90.00
_symmetry_space_group_name_H-M 'P 4/m m m'
_symmetry_Int_Tables_number 123
_symmetry_space_group_name_Hall '-P 4 2'
loop_
_atom_site_label
_atom_site_type_symbol
_atom_site_fract_x
_atom_site_fract_y
_atom_site_fract_z
Cd1 Cd 0.0000 0.0000 0.0000
Os1 Os 0.0000 0.0000 0.5000
Rh1 Rh 0.5000 0.5000 0.2711
# * ΔH_f (0 K): -0.022 eV/atom

6.
# CdOs3Rh, PBEsol geometry, DFT SCAN
data_CdOs3Rh
_cell_length_a 4.6234
_cell_length_b 4.6234
_cell_length_c 4.6234
_cell_angle_alpha 90.00
_cell_angle_beta 90.00
_cell_angle_gamma 90.00
_symmetry_space_group_name_H-M 'P m -3 m'
_symmetry_Int_Tables_number 221
_symmetry_space_group_name_Hall '-P 4 2 3'
loop_
_atom_site_label
_atom_site_type_symbol
_atom_site_fract_x
_atom_site_fract_y
_atom_site_fract_z
Cd1 Cd 0.0000 0.0000 0.0000
Os1 Os 0.0000 0.5000 0.5000
Rh1 Rh 0.5000 0.5000 0.5000
# * ΔH_f (0 K): 2.404 eV/atom
# * energy above the most stable polymorph in this dataset: 0 meV per atom

7.
# Cd2OsRh, PBEsol geometry, DFT SCAN
data_Cd2OsRh
_cell_length_a 2.8281
_cell_length_b 4.8014
_cell_length_c 9.4786
_cell_angle_alpha 90.00
_cell_angle_beta 90.00
_cell_angle_gamma 90.00
_symmetry_space_group_name_H-M 'I m m m'
_symmetry_Int_Tables_number 71
_symmetry_space_group_name_Hall '-I 2 2'
loop_
_atom_site_label
_atom_site_type_symbol
_atom_site_fract_x
_atom_site_fract_y
_atom_site_fract_z
Cd1 Cd 0.0000 0.0000 0.2448
Os1 Os 0.0000 0.5000 0.0000
Rh1 Rh 0.0000 0.5000 0.5000
# * ΔH_f (0 K): 0.457 eV/atom
# * energy above the most stable polymorph in this dataset: 98 meV per atom

8.
# CdOsRu2, PBEsol geometry, DFT SCAN
data_CdOsRu2
_cell_length_a 2.7646
_cell_length_b 2.7646
_cell_length_c 7.7362
_cell_angle_alpha 90.00
_cell_angle_beta 90.00
_cell_angle_gamma 90.00
_symmetry_space_group_name_H-M 'P 4/m m m'
_symmetry_Int_Tables_number 123
_symmetry_space_group_name_Hall '-P 4 2'
loop_
_atom_site_label
_atom_site_type_symbol
_atom_site_fract_x
_atom_site_fract_y
_atom_site_fract_z
Cd1 Cd 0.0000 0.0000 0.0000
Os1 Os 0.0000 0.0000 0.5000
Ru1 Ru 0.5000 0.5000 0.2735
# * ΔH_f (0 K): 0.236 eV/atom

9.
# CdTeOsS2, PBEsol geometry, DFT SCAN
data_CdTeOsS2
_cell_length_a 4.4347
_cell_length_b 4.4347
_cell_length_c 5.8186
_cell_angle_alpha 90.00
_cell_angle_beta 90.00
_cell_angle_gamma 90.00
_symmetry_space_group_name_H-M 'P 4/m m m'
_symmetry_Int_Tables_number 123
_symmetry_space_group_name_Hall '-P 4 2'
loop_
_atom_site_label
_atom_site_type_symbol
_atom_site_fract_x
_atom_site_fract_y
_atom_site_fract_z
Cd1 Cd 0.0000 0.0000 0.0000
Te1 Te 0.5000 0.5000 0.0000
Os1 Os 0.5000 0.5000 0.5000
S1 S 0.0000 0.5000 0.5000
# * DFT total energy: -157.59 eV per cell

10.
# CdTeOs2S, PBEsol geometry, DFT SCAN
data_CdTeOs2S
_cell_length_a 4.3173
_cell_length_b 4.3173
_cell_length_c 5.3954
_cell_angle_alpha 90.00
_cell_angle_beta 90.00
_cell_angle_gamma 90.00
_symmetry_space_group_name_H-M 'P 4/m m m'
_symmetry_Int_Tables_number 123
_symmetry_space_group_name_Hall '-P 4 2'
loop_
_atom_site_label
_atom_site_type_symbol
_atom_site_fract_x
_atom_site_fract_y
_atom_site_fract_z
Cd1 Cd 0.0000 0.0000 0.0000
Te1 Te 0.5000 0.5000 0.0000
Os1 Os 0.0000 0.5000 0.5000
S1 S 0.5000 0.5000 0.5000
# * DFT total energy: -214.61 eV per cell

11.
# CdSb2Os, PBEsol geometry, DFT SCAN
data_CdSb2Os
_cell_length_a 3.1120
_cell_length_b 4.6868
_cell_length_c 12.2879
_cell_angle_alpha 90.00
_cell_angle_beta 90.00
_cell_angle_gamma 90.00
_symmetry_space_group_name_H-M 'I m m m'
_symmetry_Int_Tables_number 71
_symmetry_space_group_name_Hall '-I 2 2'
loop_
_atom_site_label
_atom_site_type_symbol
_atom_site_fract_x
_atom_site_fract_y
_atom_site_fract_z
Cd1 Cd 0.0000 0.0000 0.0000
Sb1 Sb 0.0000 0.5000 0.1777
Os1 Os 0.0000 0.0000 0.5000
# * energy above the most stable polymorph in this dataset: 0 meV per atom

12.
# CdSb2Os, PBEsol geometry, DFT SCAN
data_CdSb2Os
_cell_length_a 3.1475
_cell_length_b 3.1475
_cell_length_c 30.6644
_cell_angle_alpha 90.00
_cell_angle_beta 90.00
_cell_angle_gamma 120.00
_symmetry_space_group_name_H-M 'R -3 m'
_symmetry_Int_Tables_number 166
_symmetry_space_group_name_Hall '-R 3 2"'
loop_
_atom_site_label
_atom_site_type_symbol
_atom_site_fract_x
_atom_site_fract_y
_atom_site_fract_z
Cd1 Cd 0.0000 0.0000 0.0000
Sb1 Sb 0.0000 0.0000 0.2336
Os1 Os 0.0000 0.0000 0.5000
# * energy above the most stable polymorph in this dataset: 112 meV per atom

Number 1: spin magnetization 0.0 μB/f.u.. Number 2: spin magnetization 0.5 μB/f.u.. Number 3: spin magnetization 2.1 μB/f.u.. Number 4: spin magnetization 0.0 μB/f.u.. Number 5: spin magnetization 0.0 μB/f.u.. Number 6: spin magnetization 0.0 μB/f.u.. Number 7: spin magnetization 0.0 μB/f.u.. Number 8: spin magnetization 0.0 μB/f.u.. Number 9: spin magnetization 0.0 μB/f.u.. Number 10: spin magnetization 0.0 μB/f.u.. Number 11: spin magnetization 0.0 μB/f.u.. Number 12: spin magnetization 0.0 μB/f.u..